Computed, not measured: a relaxed structure of Ca4TlAg2Au at the GGA-PBE level of DFT.

Structure (POSCAR):
```
Ca4TlAg2Au
1.0
-0.338 -5.035 1.566
0.404 -3.901 -3.541
8.518 -3.179 0.532
Ag Ca Au Tl
2 4 1 1
direct
0.254 0.254 0.238
0.746 0.746 0.762
0.379 0.379 0.862
0.871 0.871 0.386
0.621 0.621 0.138
0.129 0.129 0.614
0.500 0.500 0.500
0.000 0.000 0.000
```

Output
Energy of formation = -463 meV/atom